(1)
A relaxed La2HIrRh crystal. Source: Alexandria, functional PBE-GGA.

Cell: 5.187 5.187 3.586 Å, 90.00 90.00 90.00°
Element x y z (fractional)
H 0.000 0.000 0.000
Ir 0.500 0.500 0.500
Rh 0.000 0.000 0.500
La 0.000 0.500 0.000
La 0.500 0.000 0.000

Properties
Offset from the most stable computed form ... 0.000 eV/atom
Crystal system ... tetragonal
Space group ... P4/mmm
VASP energy ... -0.2392 hartree per atom

***

(2)
A relaxed LaH8Ir2Rh crystal. Source: Alexandria, functional PBE-GGA.

Cell: 4.781 4.781 6.278 Å, 67.62 67.62 60.00°
Element x y z (fractional)
La 0.500 0.500 0.500
H 0.187 0.187 0.439
H 0.639 0.251 0.179
H 0.813 0.813 0.561
H 0.931 0.639 0.179
H 0.069 0.361 0.821
H 0.251 0.931 0.179
H 0.749 0.069 0.821
H 0.361 0.749 0.821
Ir 0.283 0.283 0.150
Ir 0.717 0.717 0.850
Rh 0.000 0.000 0.000

Properties
Crystal system ... trigonal
Space group ... R-3
VASP energy ... -0.1805 hartree per atom

***

(3)
A relaxed La2HIrRh crystal. Source: Alexandria, functional PBE-GGA.

Cell: 5.203 5.203 3.600 Å, 90.00 90.00 90.00°
Element x y z (fractional)
H 0.000 0.000 0.000
Ir 0.000 0.000 0.500
Rh 0.500 0.500 0.500
La 0.000 0.500 0.000
La 0.500 0.000 0.000

Properties
Offset from the most stable computed form ... 0.030 eV/atom
Crystal system ... tetragonal
Space group ... P4/mmm
VASP energy ... -0.2381 hartree per atom

***

(4)
A relaxed La6HIr2Rh crystal. Source: Alexandria, functional PBE-GGA.

Cell: 7.090 7.092 7.839 Å, 63.10 63.09 60.01°
Element x y z (fractional)
La 0.577 0.248 0.249
La 0.248 0.927 0.248
La 0.927 0.576 0.249
La 0.416 0.752 0.741
La 0.752 0.091 0.742
La 0.091 0.416 0.742
H 0.314 0.315 0.056
Ir 0.503 0.503 0.490
Ir 0.000 0.000 0.001
Rh 0.834 0.834 0.498

Properties
Crystal system ... trigonal
Space group ... R3
VASP energy ... -0.2347 hartree per atom

***

(5)
A relaxed LaHIrRh2 crystal. Source: Alexandria, functional PBE-GGA.

Cell: 4.220 4.220 4.111 Å, 90.00 90.00 90.00°
Element x y z (fractional)
H 0.000 0.000 0.000
Ir 0.000 0.000 0.500
Rh 0.000 0.500 0.000
Rh 0.500 0.000 0.000
La 0.500 0.500 0.500

Properties
Crystal system ... tetragonal
Space group ... P4/mmm
VASP energy ... -0.2453 hartree per atom

***

(6)
A relaxed La2H6IrRu crystal. Source: Alexandria, functional PBE-GGA.

Cell: 5.276 5.276 5.407 Å, 60.99 60.99 89.85°
Element x y z (fractional)
La 0.750 0.250 0.500
La 0.250 0.750 0.500
H 0.270 0.270 0.461
H 0.752 0.752 0.001
H 0.248 0.752 0.000
H 0.752 0.248 0.000
H 0.248 0.248 0.999
H 0.730 0.730 0.539
Ir 0.000 0.000 0.000
Ru 0.500 0.500 0.000

Properties
Crystal system ... monoclinic
Space group ... C2/m
VASP energy ... -0.1943 hartree per atom

***

(7)
A relaxed LaHIr2Ru crystal. Source: Alexandria, functional PBE-GGA.

Cell: 5.079 3.473 5.079 Å, 90.00 90.00 90.00°
Element x y z (fractional)
Ru 0.500 0.500 0.500
Ir 0.000 0.000 0.500
Ir 0.500 0.000 0.000
H 0.000 0.500 0.000
La 0.000 0.000 0.000

Properties
Crystal system ... tetragonal
Space group ... P4/mmm
VASP energy ... -0.2061 hartree per atom

***

(8)
A relaxed LaSbHIr crystal. Source: Alexandria, functional PBE-GGA.

Cell: 4.732 4.733 3.779 Å, 90.00 90.00 120.00°
Element x y z (fractional)
La 0.572 0.144 0.310
Sb 0.905 0.810 0.810
H 0.239 0.477 0.309
Ir 0.239 0.477 0.810

Properties
Crystal system ... hexagonal
Space group ... P-6m2
VASP energy ... -0.2238 hartree per atom